No. 1
Computed, not measured: crystalline CsRb2BrCl at its relaxed geometry at the PBE level of DFT.

Cell lengths 6.3643, 6.3643, 7.0239 Å; angles 90.00, 90.00, 90.00 degrees
With the nearest neighbours (Å) after each atom.
Atoms (fractional coordinates):
Cs 0.0000 0.0000 0.0000  2 Cl 3.51
Rb 0.0000 0.5000 0.5000  2 Cl 3.18
Rb 0.5000 0.0000 0.5000  2 Cl 3.18
Br 0.5000 0.5000 0.0000  4 Cs 4.50, 8 Rb 4.74
Cl 0.0000 0.0000 0.5000  4 Rb 3.18, 2 Cs 3.51



No. 2
Computed, not measured: crystalline Cs2RbBrCl at its relaxed geometry at the PBE level of DFT.

Cell lengths 6.8642, 6.8642, 6.3631 Å; angles 90.00, 90.00, 90.00 degrees
With the nearest neighbours (Å) after each atom.
Atoms (fractional coordinates):
Cs 0.0000 0.5000 0.0000  2 Cl 3.43
Cs 0.5000 0.0000 0.0000  2 Cl 3.43
Rb 0.0000 0.0000 0.5000  2 Cl 3.18
Br 0.5000 0.5000 0.5000  8 Cs 4.68, 4 Rb 4.85
Cl 0.0000 0.0000 0.0000  2 Rb 3.18, 4 Cs 3.43



No. 3
Computed, not measured: crystalline Cs3ReBr2Cl6 at its relaxed geometry at the PBE level of DFT.

Cell lengths 10.1184, 10.1184, 5.6417 Å; angles 90.54, 90.54, 55.68 degrees
With the nearest neighbours (Å) after each atom.
Atoms (fractional coordinates):
Cs 0.0000 0.0000 0.0000  2 Br 3.52, 4 Cl 3.58
Cs 0.0000 0.5000 0.5000  4 Cl 3.72-3.84, 4 Br 3.74-3.86
Cs 0.5000 0.0000 0.5000  4 Cl 3.72-3.84, 4 Br 3.74-3.86
Re 0.5000 0.5000 0.5000  6 Cl 2.32-2.34
Br 0.1967 0.1967 0.9848  5 Cs 3.52-3.86, 1 Cl 3.87
Br 0.8033 0.8033 0.0152  5 Cs 3.52-3.86, 1 Cl 3.87
Cl 0.2665 0.6177 0.7260  1 Re 2.34
Cl 0.3823 0.7335 0.2740  1 Re 2.34
Cl 0.3976 0.3976 0.2447  1 Re 2.32
Cl 0.6024 0.6024 0.7553  1 Re 2.32
Cl 0.6177 0.2665 0.7260  1 Re 2.34
Cl 0.7335 0.3823 0.2740  1 Re 2.34



No. 4
Computed, not measured: crystalline Cs2ReBrCl6 at its relaxed geometry at the PBE level of DFT.

Cell lengths 8.0232, 8.0232, 8.0232 Å; angles 60.00, 60.00, 60.00 degrees
With the nearest neighbours (Å) after each atom.
Atoms (fractional coordinates):
Cs 0.2500 0.2500 0.2500  12 Cl 4.04
Cs 0.7500 0.7500 0.7500  12 Cl 4.04
Re 0.0000 0.0000 0.0000  6 Cl 2.36
Br 0.5000 0.5000 0.5000  6 Cl 3.32
Cl 0.2076 0.2076 0.7924  1 Re 2.36
Cl 0.2076 0.7924 0.2076  1 Re 2.36
Cl 0.2076 0.7924 0.7924  1 Re 2.36
Cl 0.7924 0.2076 0.2076  1 Re 2.36
Cl 0.7924 0.2076 0.7924  1 Re 2.36
Cl 0.7924 0.7924 0.2076  1 Re 2.36

## Properties
relative energy among the computed polymorphs	64	meV per atom



No. 5
Computed, not measured: crystalline Cs2ReBr6Cl at its relaxed geometry at the PBE level of DFT.

Cell lengths 7.4891, 7.5189, 7.5193 Å; angles 74.67, 74.75, 74.76 degrees
With the nearest neighbours (Å) after each atom.
Atoms (fractional coordinates):
Cs 0.0000 0.0000 0.0000  1 Cl 3.30
Cs 0.4119 0.4103 0.4106  1 Cl 3.30
Re 0.7061 0.7051 0.7053  6 Br 2.51
Br 0.0010 0.8326 0.5543  1 Re 2.51
Br 0.4112 0.5777 0.8561  1 Re 2.51
Br 0.5544 0.9990 0.8320  1 Re 2.51
Br 0.5786 0.8559 0.4111  1 Re 2.51
Br 0.8338 0.5542 0.9993  1 Re 2.51
Br 0.8580 0.4111 0.5784  1 Re 2.51
Cl 0.2068 0.2049 0.2047  2 Cs 3.30, 6 Br 3.65-3.67

## Properties
relative energy among the computed polymorphs	0	meV per atom



No. 6
Computed, not measured: crystalline Cs2ReBr6Cl at its relaxed geometry at the PBE level of DFT.

Cell lengths 8.1845, 8.1845, 8.1845 Å; angles 120.12, 120.12, 89.79 degrees
With the nearest neighbours (Å) after each atom.
Atoms (fractional coordinates):
Cs 0.2500 0.7500 0.5000  12 Br 4.10-4.11
Cs 0.7500 0.2500 0.5000  12 Br 4.10-4.11
Re 0.0000 0.0000 0.0000  6 Br 2.52
Br 0.2173 0.2173 0.0000  1 Re 2.52
Br 0.2182 0.2182 0.4364  1 Re 2.52
Br 0.2182 0.7818 0.0000  1 Re 2.52
Br 0.7818 0.2182 0.0000  1 Re 2.52
Br 0.7818 0.7818 0.5636  1 Re 2.52
Br 0.7827 0.7827 0.0000  1 Re 2.52
Cl 0.5000 0.5000 0.0000  6 Br 3.26-3.28

## Properties
relative energy among the computed polymorphs	43	meV per atom



No. 7
Computed, not measured: crystalline CsReBrCl3 at its relaxed geometry at the PBE level of DFT.

Cell lengths 11.1884, 10.2656, 10.2656 Å; angles 90.68, 90.00, 90.00 degrees
With the nearest neighbours (Å) after each atom.
Atoms (fractional coordinates):
Cs 0.0000 0.0000 0.0000  6 Cl 3.57-3.78, 4 Br 3.86-3.95
Cs 0.2500 0.2070 0.5737  7 Cl 3.47-3.85, 2 Br 3.87
Cs 0.2500 0.7160 0.5160  5 Cl 3.44-3.79
Cs 0.5000 0.0000 0.0000  6 Cl 3.57-3.78, 4 Br 3.86-3.95
Cs 0.7500 0.5160 0.7160  5 Cl 3.44-3.79
Cs 0.7500 0.5737 0.2070  7 Cl 3.47-3.85, 2 Br 3.87
Re 0.1392 0.5545 0.9963  2 Cl 2.33-2.34, 2 Re 2.48, 2 Br 2.57-2.58
Re 0.2500 0.3699 0.0919  3 Cl 2.34-2.61, 2 Re 2.48, 2 Br 2.58
Re 0.3608 0.5545 0.9963  2 Cl 2.33-2.34, 2 Re 2.48, 2 Br 2.57-2.58
Re 0.6392 0.9963 0.5545  2 Cl 2.33-2.34, 2 Re 2.48, 2 Br 2.57-2.58
Re 0.7500 0.0919 0.3699  3 Cl 2.34-2.61, 2 Re 2.48, 2 Br 2.58
Re 0.8608 0.9963 0.5545  2 Cl 2.33-2.34, 2 Re 2.48, 2 Br 2.57-2.58
Br 0.0199 0.3648 0.0939  2 Re 2.57-2.58
Br 0.2500 0.7486 0.8938  2 Re 2.58
Br 0.4801 0.3648 0.0939  2 Re 2.57-2.58
Br 0.5199 0.0939 0.3648  2 Re 2.57-2.58
Br 0.7500 0.8938 0.7486  2 Re 2.58
Br 0.9801 0.0939 0.3648  2 Re 2.57-2.58
Cl 0.0677 0.9438 0.6640  1 Re 2.63
Cl 0.1039 0.4725 0.7861  1 Re 2.34
Cl 0.1055 0.6783 0.1842  1 Re 2.33
Cl 0.2500 0.1423 0.2037  1 Re 2.61
Cl 0.2500 0.2281 0.9117  1 Re 2.34
Cl 0.2500 0.4353 0.3107  1 Re 2.34
Cl 0.3945 0.6783 0.1842  1 Re 2.33
Cl 0.3961 0.4725 0.7861  1 Re 2.34
Cl 0.4323 0.9438 0.6640  1 Re 2.63
Cl 0.5677 0.6640 0.9438  1 Re 2.63
Cl 0.6039 0.7861 0.4725  1 Re 2.34
Cl 0.6055 0.1842 0.6783  1 Re 2.33
Cl 0.7500 0.2037 0.1423  1 Re 2.61
Cl 0.7500 0.3107 0.4353  1 Re 2.34
Cl 0.7500 0.9117 0.2281  1 Re 2.34
Cl 0.8945 0.1842 0.6783  1 Re 2.33
Cl 0.8961 0.7861 0.4725  1 Re 2.34
Cl 0.9323 0.6640 0.9438  1 Re 2.63



No. 8
Computed, not measured: crystalline Cs2ReBrCl5 at its relaxed geometry at the PBE level of DFT.

Cell lengths 7.5392, 7.5392, 7.5392 Å; angles 119.38, 119.38, 91.08 degrees
With the nearest neighbours (Å) after each atom.
Atoms (fractional coordinates):
Cs 0.0000 0.5000 0.5000  10 Cl 3.78-3.81, 2 Br 3.81
Cs 0.5000 0.0000 0.5000  10 Cl 3.78-3.81, 2 Br 3.81
Re 0.2499 0.2499 0.0000  5 Cl 2.38, 1 Br 2.54
Br 0.4908 0.4908 0.0000  1 Re 2.54
Cl 0.0243 0.0243 0.0000  1 Re 2.38
Cl 0.0286 0.0286 0.5571  1 Re 2.38
Cl 0.0286 0.4715 0.0000  1 Re 2.38
Cl 0.4715 0.0286 0.0000  1 Re 2.38
Cl 0.4715 0.4715 0.4429  1 Re 2.38



Respective magnetic moment values: 0.00 0.00 1.83 2.00 1.96 2.00 0.00 3.00 μB per formula unit.
Respective formation energy (no corrections) values: -1.24 -1.25 -1.22 -1.07 -0.88 -0.84 -1.07 -1.29 eV/atom.
Respective total energy values: -2.5024 -2.4853 -3.6758 -3.7655 -3.4827 -3.4393 -4.4843 -4.0755 eV/atom.